(1)
VASP calculation (PBE-GGA) on Tb2SmIr9 after structural relaxation.

Lattice parameters (Å, degrees): 5.3321 5.3321 9.3060 73.35 73.35 60.00
With the nearest neighbours (Å) after each atom.
Atoms (fractional coordinates):
Sm 0.0000 0.0000 0.0000  18 Ir 3.08-3.43
Ir 0.4184 0.4184 0.2462  7 Ir 2.64-2.71
Ir 0.4184 0.9169 0.2462  7 Ir 2.64-2.71
Ir 0.5816 0.0831 0.7538  7 Ir 2.64-2.71
Ir 0.6673 0.6673 0.9982  6 Ir 2.64-2.66
Ir 0.3327 0.3327 0.0018  6 Ir 2.64-2.66
Ir 0.0831 0.5816 0.7538  7 Ir 2.64-2.71
Ir 0.9169 0.4184 0.2462  7 Ir 2.64-2.71
Ir 0.5816 0.5816 0.7538  7 Ir 2.64-2.71
Ir 0.5000 0.5000 0.5000  6 Ir 2.71
Tb 0.1394 0.1394 0.5818  12 Ir 3.06-3.33, 3 Tb 3.40
Tb 0.8606 0.8606 0.4182  12 Ir 3.06-3.33, 3 Tb 3.40

formation energy from the elements: -0.577 eV/atom
volume: 18.0 Å³ per atom
DOS at the Fermi energy: 12.36 states/eV per cell
E_tot: -100.650 eV/cell

(2)
VASP calculation (PBE-GGA) on YTl3Au after structural relaxation.

Lattice parameters (Å, degrees): 5.4405 5.4405 5.4405 90.00 90.00 90.00
With the nearest neighbours (Å) after each atom.
Atoms (fractional coordinates):
Tl 0.0000 0.0000 0.5000  2 Au 2.72
Tl 0.0000 0.5000 0.0000  2 Au 2.72
Tl 0.5000 0.0000 0.0000  2 Au 2.72
Au 0.0000 0.0000 0.0000  6 Tl 2.72
Y 0.5000 0.5000 0.5000  12 Tl 3.85

formation energy from the elements: 0.268 eV/atom
volume: 32.2 Å³ per atom
DOS at the Fermi energy: 3.59 states/eV per cell
E_tot: -15.500 eV/cell